This record from the Alexandria database describes Y3Cl at its PBEsol-relaxed geometry. The functional is meta-GGA SCAN.

Cell and atoms, written as CIF:
```
data_Y3Cl
_chemical_formula_sum 'Y3 Cl1'
_space_group_name_H-M_alt 'P 1'
_space_group_IT_number 1
_cell_length_a 3.4388
_cell_length_b 5.6554
_cell_length_c 5.6554
_cell_angle_alpha 90.16
_cell_angle_beta 90.00
_cell_angle_gamma 90.00
loop_
_space_group_symop_operation_xyz
'x,y,z'
loop_
_atom_site_label
_atom_site_type_symbol
_atom_site_fract_x
_atom_site_fract_y
_atom_site_fract_z
Y1 Y 0.5000 0.0000 0.5000
Y2 Y 0.5000 0.5000 0.0000
Y3 Y 0.0000 0.5000 0.5000
Cl1 Cl 0.0000 0.0000 0.0000
```

Computed properties:
As for the uncorrected formation energy: -259 meV/atom.

This record from the Alexandria database describes NbInAs2 at its PBEsol-relaxed geometry. The functional is meta-GGA SCAN.

Cell and atoms, written as CIF:
```
data_NbInAs2
_chemical_formula_sum 'Nb2 In2 As4'
_space_group_name_H-M_alt 'P 1'
_space_group_IT_number 1
_cell_length_a 6.1335
_cell_length_b 6.1335
_cell_length_c 7.1665
_cell_angle_alpha 115.34
_cell_angle_beta 115.34
_cell_angle_gamma 90.00
loop_
_space_group_symop_operation_xyz
'x,y,z'
loop_
_atom_site_label
_atom_site_type_symbol
_atom_site_fract_x
_atom_site_fract_y
_atom_site_fract_z
Nb1 Nb 0.7500 0.2500 0.5000
Nb2 Nb 0.5000 0.5000 0.0000
As1 As 0.4053 0.8750 0.2500
As2 As 0.8447 0.3750 0.2500
As3 As 0.1250 0.1553 0.7500
As4 As 0.6250 0.5947 0.7500
In1 In 0.2500 0.7500 0.5000
In2 In 0.0000 0.0000 0.0000
```

Computed properties:
For the energy of formation, the calculation gives 65 meV/atom.

This record from the Alexandria database describes Na2CaAs4O12 at its PBEsol-relaxed geometry. The functional is meta-GGA SCAN.

Cell and atoms, written as CIF:
```
data_Na2CaAs4O12
_chemical_formula_sum 'Na4 Ca2 As8 O24'
_space_group_name_H-M_alt 'P 1'
_space_group_IT_number 1
_cell_length_a 5.1932
_cell_length_b 9.9342
_cell_length_c 9.9342
_cell_angle_alpha 90.00
_cell_angle_beta 90.00
_cell_angle_gamma 90.00
loop_
_space_group_symop_operation_xyz
'x,y,z'
loop_
_atom_site_label
_atom_site_type_symbol
_atom_site_fract_x
_atom_site_fract_y
_atom_site_fract_z
Na1 Na 0.0000 0.7500 0.2500
Na2 Na 0.0000 0.2500 0.2500
Na3 Na 0.0000 0.2500 0.7500
Na4 Na 0.0000 0.7500 0.7500
Ca1 Ca 0.0000 0.0000 0.0000
Ca2 Ca 0.0000 0.5000 0.5000
As1 As 0.5000 0.0000 0.7292
As2 As 0.5000 0.7708 0.5000
As3 As 0.5000 0.5000 0.7708
As4 As 0.5000 0.7292 0.0000
As5 As 0.5000 0.5000 0.2292
As6 As 0.5000 0.0000 0.2708
As7 As 0.5000 0.2708 0.0000
As8 As 0.5000 0.2292 0.5000
O1 O 0.3464 0.8839 0.6161
O2 O 0.7439 0.1919 0.9258
O3 O 0.6536 0.6161 0.8839
O4 O 0.7439 0.6919 0.5742
O5 O 0.7439 0.3081 0.4258
O6 O 0.7439 0.9258 0.8081
O7 O 0.3464 0.6161 0.1161
O8 O 0.2561 0.3081 0.5742
O9 O 0.7439 0.5742 0.3081
O10 O 0.2561 0.0742 0.8081
O11 O 0.2561 0.5742 0.6919
O12 O 0.6536 0.8839 0.3839
O13 O 0.2561 0.9258 0.1919
O14 O 0.6536 0.3839 0.1161
O15 O 0.7439 0.0742 0.1919
O16 O 0.2561 0.4258 0.3081
O17 O 0.7439 0.4258 0.6919
O18 O 0.7439 0.8081 0.0742
O19 O 0.6536 0.1161 0.6161
O20 O 0.2561 0.8081 0.9258
O21 O 0.2561 0.1919 0.0742
O22 O 0.3464 0.1161 0.3839
O23 O 0.2561 0.6919 0.4258
O24 O 0.3464 0.3839 0.8839
```

Computed properties:
As for the uncorrected formation energy: -1766 meV/atom.

This record from the Alexandria database describes ScFe10Si2 at its PBEsol-relaxed geometry. The functional is meta-GGA SCAN.

Cell and atoms, written as CIF:
```
data_ScFe10Si2
_chemical_formula_sum 'Sc1 Fe10 Si2'
_space_group_name_H-M_alt 'P 1'
_space_group_IT_number 1
_cell_length_a 4.6149
_cell_length_b 6.1702
_cell_length_c 6.1702
_cell_angle_alpha 81.49
_cell_angle_beta 68.04
_cell_angle_gamma 68.04
loop_
_space_group_symop_operation_xyz
'x,y,z'
loop_
_atom_site_label
_atom_site_type_symbol
_atom_site_fract_x
_atom_site_fract_y
_atom_site_fract_z
Sc1 Sc 0.0000 0.0000 0.0000
Fe1 Fe 0.6391 0.3609 0.3609
Fe2 Fe 0.3609 0.6391 0.6391
Fe3 Fe 0.0000 0.6474 0.3526
Fe4 Fe 0.0000 0.3526 0.6474
Fe5 Fe 0.5000 0.2041 0.7959
Fe6 Fe 0.5000 0.7959 0.2041
Fe7 Fe 0.5000 0.5000 0.0000
Fe8 Fe 0.0000 0.5000 0.0000
Fe9 Fe 0.5000 0.0000 0.5000
Fe10 Fe 0.0000 0.0000 0.5000
Si1 Si 0.7306 0.7694 0.7694
Si2 Si 0.2694 0.2306 0.2306
```

Computed properties:
As for the uncorrected formation energy: -242 meV/atom.

This record from the Alexandria database describes MgSeS2Cl at its PBEsol-relaxed geometry. The functional is meta-GGA SCAN.

Cell and atoms, written as CIF:
```
data_MgSeS2Cl
_chemical_formula_sum 'Mg1 Se1 S2 Cl1'
_space_group_name_H-M_alt 'P 1'
_space_group_IT_number 1
_cell_length_a 4.4716
_cell_length_b 4.8374
_cell_length_c 4.8374
_cell_angle_alpha 90.00
_cell_angle_beta 90.00
_cell_angle_gamma 90.00
loop_
_space_group_symop_operation_xyz
'x,y,z'
loop_
_atom_site_label
_atom_site_type_symbol
_atom_site_fract_x
_atom_site_fract_y
_atom_site_fract_z
S1 S 0.0000 0.0000 0.5000
S2 S 0.0000 0.5000 0.0000
Mg1 Mg 0.0000 0.0000 0.0000
Se1 Se 0.5000 0.5000 0.5000
Cl1 Cl 0.5000 0.0000 0.0000
```

Computed properties:
As for the uncorrected formation energy: 67 meV/atom.

This record from the Alexandria database describes BTePtI2 at its PBEsol-relaxed geometry. The functional is meta-GGA SCAN.

Cell and atoms, written as CIF:
```
data_BTePtI2
_chemical_formula_sum 'B1 Te1 Pt1 I2'
_space_group_name_H-M_alt 'P 1'
_space_group_IT_number 1
_cell_length_a 5.1592
_cell_length_b 5.4312
_cell_length_c 5.4312
_cell_angle_alpha 90.00
_cell_angle_beta 90.00
_cell_angle_gamma 90.00
loop_
_space_group_symop_operation_xyz
'x,y,z'
loop_
_atom_site_label
_atom_site_type_symbol
_atom_site_fract_x
_atom_site_fract_y
_atom_site_fract_z
I1 I 0.0000 0.0000 0.5000
I2 I 0.0000 0.5000 0.0000
B1 B 0.5000 0.5000 0.5000
Te1 Te 0.5000 0.0000 0.0000
Pt1 Pt 0.0000 0.0000 0.0000
```

Computed properties:
As for the uncorrected formation energy: 1107 meV/atom.

This record from the Alexandria database describes CaCrBi2Br at its PBEsol-relaxed geometry. The functional is meta-GGA SCAN.

Cell and atoms, written as CIF:
```
data_CaCrBi2Br
_chemical_formula_sum 'Ca1 Cr1 Bi2 Br1'
_space_group_name_H-M_alt 'P 1'
_space_group_IT_number 1
_cell_length_a 5.2410
_cell_length_b 5.8732
_cell_length_c 5.8732
_cell_angle_alpha 90.00
_cell_angle_beta 90.00
_cell_angle_gamma 90.00
loop_
_space_group_symop_operation_xyz
'x,y,z'
loop_
_atom_site_label
_atom_site_type_symbol
_atom_site_fract_x
_atom_site_fract_y
_atom_site_fract_z
Cr1 Cr 0.5000 0.5000 0.5000
Ca1 Ca 0.0000 0.0000 0.0000
Bi1 Bi 0.0000 0.0000 0.5000
Bi2 Bi 0.0000 0.5000 0.0000
Br1 Br 0.5000 0.0000 0.0000
```

Computed properties:
As for the uncorrected formation energy: 388 meV/atom.

This record from the Alexandria database describes CdRh at its PBEsol-relaxed geometry. The functional is meta-GGA SCAN.

Cell and atoms, written as CIF:
```
data_CdRh
_chemical_formula_sum 'Cd2 Rh2'
_space_group_name_H-M_alt 'P 1'
_space_group_IT_number 1
_cell_length_a 4.3102
_cell_length_b 4.3102
_cell_length_c 4.8046
_cell_angle_alpha 90.00
_cell_angle_beta 90.00
_cell_angle_gamma 120.00
loop_
_space_group_symop_operation_xyz
'x,y,z'
loop_
_atom_site_label
_atom_site_type_symbol
_atom_site_fract_x
_atom_site_fract_y
_atom_site_fract_z
Cd1 Cd 0.6667 0.3333 0.7500
Cd2 Cd 0.3333 0.6667 0.2500
Rh1 Rh 0.0000 0.0000 0.0000
Rh2 Rh 0.0000 0.0000 0.5000
```

Computed properties:
For the energy of formation, the calculation gives 299 meV/atom.

This record from the Alexandria database describes NaSc2Pt at its PBEsol-relaxed geometry. The functional is meta-GGA SCAN.

Cell and atoms, written as CIF:
```
data_NaSc2Pt
_chemical_formula_sum 'Na1 Sc2 Pt1'
_space_group_name_H-M_alt 'P 1'
_space_group_IT_number 1
_cell_length_a 3.0249
_cell_length_b 3.0249
_cell_length_c 11.2643
_cell_angle_alpha 82.28
_cell_angle_beta 82.28
_cell_angle_gamma 60.00
loop_
_space_group_symop_operation_xyz
'x,y,z'
loop_
_atom_site_label
_atom_site_type_symbol
_atom_site_fract_x
_atom_site_fract_y
_atom_site_fract_z
Sc1 Sc 0.9257 0.9257 0.2228
Sc2 Sc 0.0743 0.0743 0.7772
Na1 Na 0.5000 0.5000 0.5000
Pt1 Pt 0.0000 0.0000 0.0000
```

Computed properties:
For the energy of formation, the calculation gives 215 meV/atom.

This record from the Alexandria database describes ThGaIr at its PBEsol-relaxed geometry. The functional is meta-GGA SCAN.

Cell and atoms, written as CIF:
```
data_ThGaIr
_chemical_formula_sum 'Th3 Ga3 Ir3'
_space_group_name_H-M_alt 'P 1'
_space_group_IT_number 1
_cell_length_a 4.0760
_cell_length_b 7.1446
_cell_length_c 7.1446
_cell_angle_alpha 120.00
_cell_angle_beta 90.00
_cell_angle_gamma 90.00
loop_
_space_group_symop_operation_xyz
'x,y,z'
loop_
_atom_site_label
_atom_site_type_symbol
_atom_site_fract_x
_atom_site_fract_y
_atom_site_fract_z
Th1 Th 0.5000 0.5845 0.0000
Th2 Th 0.5000 0.4155 0.4155
Th3 Th 0.5000 0.0000 0.5845
Ga1 Ga 0.0000 0.2348 0.0000
Ga2 Ga 0.0000 0.7652 0.7652
Ga3 Ga 0.0000 0.0000 0.2348
Ir1 Ir 0.0000 0.3333 0.6667
Ir2 Ir 0.0000 0.6667 0.3333
Ir3 Ir 0.5000 0.0000 0.0000
```

Computed properties:
For the energy of formation, the calculation gives -1057 meV/atom.

This record from the Alexandria database describes SiNi2Rh at its PBEsol-relaxed geometry. The functional is meta-GGA SCAN.

Cell and atoms, written as CIF:
```
data_SiNi2Rh
_chemical_formula_sum 'Si1 Ni2 Rh1'
_space_group_name_H-M_alt 'P 1'
_space_group_IT_number 1
_cell_length_a 2.8070
_cell_length_b 4.0651
_cell_length_c 4.7313
_cell_angle_alpha 115.44
_cell_angle_beta 107.26
_cell_angle_gamma 90.00
loop_
_space_group_symop_operation_xyz
'x,y,z'
loop_
_atom_site_label
_atom_site_type_symbol
_atom_site_fract_x
_atom_site_fract_y
_atom_site_fract_z
Ni1 Ni 0.9758 0.9758 0.9516
Ni2 Ni 0.7435 0.2435 0.4870
Rh1 Rh 0.5224 0.5224 0.0447
Si1 Si 0.2583 0.7583 0.5166
```

Computed properties:
As for the uncorrected formation energy: -371 meV/atom.

This record from the Alexandria database describes K2BaZr at its PBEsol-relaxed geometry. The functional is meta-GGA SCAN.

Cell and atoms, written as CIF:
```
data_K2BaZr
_chemical_formula_sum 'K2 Ba1 Zr1'
_space_group_name_H-M_alt 'P 1'
_space_group_IT_number 1
_cell_length_a 6.3474
_cell_length_b 6.3474
_cell_length_c 6.3474
_cell_angle_alpha 60.00
_cell_angle_beta 60.00
_cell_angle_gamma 60.00
loop_
_space_group_symop_operation_xyz
'x,y,z'
loop_
_atom_site_label
_atom_site_type_symbol
_atom_site_fract_x
_atom_site_fract_y
_atom_site_fract_z
Ba1 Ba 0.0000 0.0000 0.0000
K1 K 0.2500 0.2500 0.2500
K2 K 0.7500 0.7500 0.7500
Zr1 Zr 0.5000 0.5000 0.5000
```

Computed properties:
The calculation puts the excess energy over the best structure of this formula in the dataset at 99 meV/atom. For the energy of formation, the calculation gives 924 meV/atom.

This record from the Alexandria database describes Li2SiSe at its PBEsol-relaxed geometry. The functional is meta-GGA SCAN.

Cell and atoms, written as CIF:
```
data_Li2SiSe
_chemical_formula_sum 'Li2 Si1 Se1'
_space_group_name_H-M_alt 'P 1'
_space_group_IT_number 1
_cell_length_a 2.9231
_cell_length_b 3.7523
_cell_length_c 5.7072
_cell_angle_alpha 90.00
_cell_angle_beta 89.99
_cell_angle_gamma 90.00
loop_
_space_group_symop_operation_xyz
'x,y,z'
loop_
_atom_site_label
_atom_site_type_symbol
_atom_site_fract_x
_atom_site_fract_y
_atom_site_fract_z
Si1 Si 0.5000 0.5000 0.5000
Se1 Se 0.5000 0.5000 0.0000
Li1 Li 0.9999 0.0000 0.7502
Li2 Li 0.0001 0.0000 0.2498
```

Computed properties:
The calculation puts the excess energy over the best structure of this formula in the dataset at 0 meV/atom. As for the uncorrected formation energy: -372 meV/atom.

| no. | final energy (eV/atom) |
| --- | --- |
| 1 | -23.135 |
| 2 | -26.659 |
| 3 | -10.904 |
| 4 | -16.824 |
| 5 | -10.390 |
| 6 | -36.564 |
| 7 | -40.545 |
| 8 | -31.794 |
| 9 | -25.505 |
| 10 | -62.179 |
| 11 | -19.405 |
| 12 | -20.802 |
| 13 | -9.090 |